# CeDyTe2O

A geometry-optimized CeDyTe2O structure (GGA-PBE, Alexandria).

Output
E   -0.2360 hartree per atom
Formation energy from raw total energies   -2.07 eV/atom

a b c (Å): 4.2081 4.2081 15.4545
angles (deg): 90.00 90.00 90.00
Last column: nearest neighbours and their distance in Å.
Space group P4/nmm (No. 129, origin choice 2)
Unique sites:
Ce: 0.2500 0.2500 0.0735  4 O 2.39
Dy: 0.2500 0.2500 0.6232  6 Te 2.94-3.29
Te: 0.2500 0.2500 0.4106  5 Dy 3.02-3.29
Te: 0.2500 0.2500 0.8135  1 Dy 2.94
O: 0.2500 0.7500 0.0000  4 Ce 2.39